1.
Entry from the Alexandria database: NaPmNbO4 after structural relaxation (PBE).

Cell lengths 6.155, 6.768, 7.191 Å; angles 122.09, 90.00, 117.05 degrees
Fractional positions:
O 0.301 0.078 0.289
O 0.259 0.519 0.301
O 0.223 0.922 0.711
Pm 0.500 0.000 0.500
O 0.741 0.481 0.283
Nb 0.500 0.500 0.500
O 0.259 0.519 0.717
Pm 0.500 0.000 0.000
O 0.777 0.078 0.289
O 0.699 0.922 0.711
Nb 0.000 0.500 0.500
Na 0.872 0.744 0.122
O 0.741 0.481 0.699
Na 0.128 0.256 0.878

Computed properties:
final energy: -108.0 eV/cell
ΔE_f (raw): -2578 meV per atom
SG: Imma (74)



2.
Entry from the Alexandria database: Na4PmNb3O12 after structural relaxation (PBE).

Cell lengths 7.203, 7.203, 7.203 Å; angles 109.47, 109.47, 109.47 degrees
Fractional positions:
O 0.250 0.500 0.750
O 0.270 0.270 0.000
Nb 0.000 0.500 0.500
O 0.730 0.000 0.730
O 0.750 0.250 0.500
Na 0.000 0.000 0.500
O 0.750 0.500 0.250
Pm 0.000 0.000 0.000
O 0.500 0.250 0.750
O 0.270 0.000 0.270
O 0.000 0.270 0.270
Na 0.500 0.000 0.000
Na 0.500 0.500 0.500
Na 0.000 0.500 0.000
Nb 0.500 0.000 0.500
O 0.000 0.730 0.730
Nb 0.500 0.500 0.000
O 0.500 0.750 0.250
O 0.730 0.730 0.000
O 0.250 0.750 0.500

Computed properties:
final energy: -143.5 eV/cell
ΔE_f (raw): -2191 meV per atom
SG: Im-3m (229)



3.
Entry from the Alexandria database: NaPm2NbO6 after structural relaxation (PBE).

Cell lengths 5.808, 5.808, 6.027 Å; angles 61.19, 61.19, 60.00 degrees
Fractional positions:
Nb 0.316 0.316 0.053
Na 0.803 0.803 0.591
O 0.676 0.139 0.774
O 0.976 0.572 0.240
O 0.212 0.976 0.240
O 0.572 0.212 0.240
O 0.139 0.411 0.774
O 0.411 0.676 0.773
Pm 0.528 0.528 0.415
Pm 0.028 0.028 0.915

Computed properties:
final energy: -79.7 eV/cell
ΔE_f (raw): -2907 meV per atom
SG: R3 (146)



4.
Entry from the Alexandria database: NaPr2NbO6 after structural relaxation (PBE).

Cell lengths 5.668, 6.016, 8.254 Å; angles 90.00, 88.65, 90.00 degrees
Fractional positions:
O 0.668 0.278 0.580
O 0.711 0.324 0.946
Pr 0.022 0.936 0.257
O 0.289 0.676 0.054
Na 0.000 0.500 0.500
Na 0.500 0.000 0.000
Pr 0.522 0.564 0.757
O 0.211 0.176 0.446
O 0.630 0.062 0.274
O 0.789 0.824 0.554
Pr 0.978 0.064 0.743
O 0.832 0.778 0.920
Nb 0.000 0.500 0.000
O 0.168 0.222 0.080
O 0.370 0.938 0.726
Pr 0.478 0.436 0.243
O 0.870 0.562 0.226
Nb 0.500 0.000 0.500
O 0.130 0.438 0.774
O 0.332 0.722 0.420

Computed properties:
final energy: -159.3 eV/cell
ΔE_f (raw): -2897 meV per atom
SG: P2_1/c (14)



5.
Entry from the Alexandria database: NaPrNb2O6 after structural relaxation (PBE).

Cell lengths 5.728, 5.728, 5.728 Å; angles 60.00, 60.00, 60.00 degrees
Fractional positions:
O 0.000 0.500 0.500
Nb 0.750 0.750 0.750
Nb 0.250 0.250 0.250
O 0.500 0.000 0.500
O 0.500 0.500 0.000
Na 0.500 0.500 0.500
O 0.500 0.000 0.000
O 0.000 0.000 0.500
Pr 0.000 0.000 0.000
O 0.000 0.500 0.000

Computed properties:
final energy: -81.5 eV/cell
ΔE_f (raw): -2546 meV per atom
SG: Fm-3m (225)



6.
Entry from the Alexandria database: NaPrNb4O12 after structural relaxation (PBE).

Cell lengths 5.642, 5.642, 7.995 Å; angles 90.00, 90.00, 90.00 degrees
Fractional positions:
O 0.500 0.000 0.500
O 0.243 0.757 0.736
Nb 0.500 0.000 0.247
O 0.243 0.757 0.264
O 0.000 0.500 0.000
Na 0.500 0.500 0.000
Nb 0.500 0.000 0.753
O 0.243 0.243 0.736
Nb 0.000 0.500 0.247
O 0.757 0.243 0.736
Pr 0.000 0.000 0.500
Nb 0.000 0.500 0.753
O 0.757 0.757 0.736
O 0.243 0.243 0.264
O 0.500 0.000 0.000
O 0.757 0.757 0.264
O 0.000 0.500 0.500
O 0.757 0.243 0.264

Computed properties:
final energy: -152.7 eV/cell
ΔE_f (raw): -2600 meV per atom
SG: P4/mmm (123)



7.
Entry from the Alexandria database: NaSrPrNbO6 after structural relaxation (PBE).

Cell lengths 6.135, 6.135, 6.135 Å; angles 60.00, 60.00, 60.00 degrees
Fractional positions:
Nb 0.000 0.000 0.000
O 0.231 0.769 0.769
O 0.769 0.769 0.231
O 0.231 0.769 0.231
Pr 0.500 0.500 0.500
O 0.769 0.231 0.231
O 0.769 0.231 0.769
Na 0.250 0.250 0.250
O 0.231 0.231 0.769
Sr 0.750 0.750 0.750

Computed properties:
final energy: -71.9 eV/cell
ΔE_f (raw): -2427 meV per atom
SG: F-43m (216)



8.
Entry from the Alexandria database: Na3PrTi2Nb2O12 after structural relaxation (PBE).

Cell lengths 5.539, 5.609, 7.843 Å; angles 90.00, 89.91, 90.55 degrees
Fractional positions:
Nb 0.011 0.482 0.987
O 0.557 0.987 0.754
Pr 0.994 0.957 0.251
O 0.428 0.031 0.247
O 0.715 0.734 0.454
O 0.062 0.520 0.252
Na 0.512 0.463 0.250
Ti 0.498 0.980 0.007
Na 0.511 0.499 0.747
O 0.282 0.298 0.531
O 0.205 0.806 0.983
O 0.790 0.223 0.464
Ti 0.014 0.479 0.499
O 0.935 0.510 0.746
O 0.200 0.803 0.519
O 0.288 0.295 0.964
Nb 0.500 0.988 0.512
O 0.714 0.736 0.045
Na 0.995 0.992 0.752
O 0.789 0.218 0.036

Computed properties:
final energy: -158.3 eV/cell
ΔE_f (raw): -2706 meV per atom
SG: P1 (1)



9.
Entry from the Alexandria database: NaNbPtO6 after structural relaxation (PBE).

Cell lengths 5.342, 5.342, 10.244 Å; angles 90.00, 90.00, 120.00 degrees
Fractional positions:
O 0.006 0.374 0.145
O 0.632 0.626 0.645
Nb 0.667 0.333 0.250
O 0.368 0.994 0.145
O 0.632 0.006 0.855
O 0.368 0.374 0.355
O 0.374 0.006 0.645
O 0.374 0.368 0.855
O 0.626 0.994 0.355
O 0.006 0.632 0.355
Nb 0.333 0.667 0.750
Pt 0.667 0.333 0.750
Na 0.000 0.000 0.500
Pt 0.333 0.667 0.250
O 0.626 0.632 0.145
Na 0.000 0.000 0.000
O 0.994 0.368 0.645
O 0.994 0.626 0.855

Computed properties:
final energy: -118.1 eV/cell
ΔE_f (raw): -1319 meV per atom
SG: P-31c (163)



10.
Entry from the Alexandria database: NaNb2PtO8 after structural relaxation (PBE).

Cell lengths 4.788, 4.778, 6.428 Å; angles 89.99, 89.98, 88.29 degrees
Fractional positions:
Na 0.000 0.000 0.500
O 0.788 0.214 0.785
Nb 0.498 0.498 0.739
O 0.319 0.317 0.500
O 0.212 0.786 0.785
O 0.212 0.786 0.215
Pt 0.000 0.000 0.000
Nb 0.502 0.502 0.261
O 0.706 0.708 0.000
O 0.788 0.214 0.215
O 0.294 0.292 0.000
O 0.681 0.683 0.500

Computed properties:
final energy: -88.3 eV/cell
ΔE_f (raw): -1758 meV per atom
SG: P-1 (2)



11.
Entry from the Alexandria database: NaNbPtO4 after structural relaxation (PBE).

Cell lengths 5.876, 7.037, 6.050 Å; angles 115.46, 90.00, 114.68 degrees
Fractional positions:
Na 0.164 0.328 0.914
O 0.258 0.957 0.228
O 0.686 0.372 0.225
Pt 0.000 0.500 0.500
Na 0.836 0.672 0.086
Pt 0.500 0.500 0.500
O 0.742 0.043 0.772
O 0.686 0.372 0.647
Nb 0.500 0.000 0.000
Nb 0.500 0.000 0.500
O 0.314 0.628 0.775
O 0.314 0.628 0.353
O 0.699 0.957 0.228
O 0.301 0.043 0.772

Computed properties:
final energy: -97.4 eV/cell
ΔE_f (raw): -1635 meV per atom
SG: Imma (74)



12.
Entry from the Alexandria database: NaPuNb2O8 after structural relaxation (PBE).

Cell lengths 5.107, 5.120, 6.347 Å; angles 92.04, 88.70, 88.37 degrees
Fractional positions:
O 0.199 0.797 0.789
Pu 0.000 0.000 0.000
O 0.801 0.203 0.211
Na 0.000 0.000 0.500
O 0.787 0.228 0.756
O 0.213 0.772 0.244
Nb 0.500 0.545 0.257
Nb 0.500 0.455 0.743
O 0.337 0.317 0.496
O 0.663 0.683 0.504
O 0.682 0.682 0.008
O 0.318 0.318 0.992

Computed properties:
final energy: -105.4 eV/cell
ΔE_f (raw): -2493 meV per atom
SG: P-1 (2)



> final energy of number 6 (NaPrNb4O12)?

-152.7 eV/cell



> ΔE_f (raw) of number 11 (NaNbPtO4)?

-1635 meV per atom



> Among the records above, which one has the highest ΔE_f (raw)?

NaNbPtO6



> The lowest ΔE_f (raw) belongs to which entry?

NaPm2NbO6